The following is a DFT calculation (meta-GGA SCAN) of a crystal of DySnRh relaxed with PBEsol.

Cell lengths 7.4924, 7.4924, 3.7399 Å; angles 90.00, 90.00, 120.00 degrees
Last column: nearest neighbours and their distance in Å.
Sites, in units of the cell vectors:
Dy 0.0000 0.4059 0.0000  5 Rh 2.94-3.04, 6 Sn 3.11-3.26
Dy 0.4059 0.0000 0.0000  5 Rh 2.94-3.04, 6 Sn 3.11-3.26
Dy 0.5941 0.5941 0.0000  5 Rh 2.94-3.04, 6 Sn 3.11-3.26
Sn 0.0000 0.7371 0.5000  4 Rh 2.72-2.80
Sn 0.2629 0.2629 0.5000  4 Rh 2.72-2.80
Sn 0.7371 0.0000 0.5000  4 Rh 2.72-2.80
Rh 0.0000 0.0000 0.0000  6 Sn 2.72, 3 Dy 3.04
Rh 0.3333 0.6667 0.5000  3 Sn 2.80, 6 Dy 2.94
Rh 0.6667 0.3333 0.5000  3 Sn 2.80, 6 Dy 2.94

Summary:
- energy (eV/atom) = -40.188
- formation energy from the elements (meV per atom) = -1025
- space group = P-62m (189)

The following is a DFT calculation (meta-GGA SCAN) of a crystal of Mg2TaSe relaxed with PBEsol.

Cell lengths 5.5860, 5.5860, 5.5860 Å; angles 139.80, 139.80, 58.16 degrees
Last column: nearest neighbours and their distance in Å.
Sites, in units of the cell vectors:
Mg 0.2500 0.7500 0.5000  4 Mg 2.72
Mg 0.7500 0.2500 0.5000  4 Mg 2.72
Ta 0.0000 0.0000 0.0000  4 Se 2.72
Se 0.5000 0.5000 0.0000  4 Ta 2.72

Summary:
- energy (eV/atom) = -23.941
- E_form (uncorrected) (eV/atom) = 0.21
- space group = I4/mmm (139)

The following is a DFT calculation (meta-GGA SCAN) of a crystal of CoTe2SN relaxed with PBEsol.

Cell lengths 5.2265, 5.2265, 3.2697 Å; angles 90.00, 90.00, 90.00 degrees
Last column: nearest neighbours and their distance in Å.
Sites, in units of the cell vectors:
Co 0.0000 0.0000 0.0000  8 Te 3.08, 2 Co 3.27
Te 0.0000 0.5000 0.5000  2 S 2.61
Te 0.5000 0.0000 0.5000  2 S 2.61
S 0.5000 0.5000 0.5000  2 N 1.63
N 0.5000 0.5000 0.0000  2 S 1.63

Summary:
- energy (eV/atom) = -21.048
- E_form (uncorrected) (eV/atom) = 1.10
- space group = P4/mmm (123)

The following is a DFT calculation (meta-GGA SCAN) of a crystal of ScFeO3 relaxed with PBEsol.

Cell lengths 5.6865, 5.6865, 11.1756 Å; angles 90.00, 90.00, 120.00 degrees
Last column: nearest neighbours and their distance in Å.
Sites, in units of the cell vectors:
Sc 0.0000 0.0000 0.0000  7 O 2.13-2.20
Sc 0.0000 0.0000 0.5000  7 O 2.13-2.20
Sc 0.3333 0.6667 0.0486  7 O 2.11-2.35
Sc 0.3333 0.6667 0.5486  7 O 2.11-2.35
Sc 0.6667 0.3333 0.0486  7 O 2.11-2.35
Sc 0.6667 0.3333 0.5486  7 O 2.11-2.35
Fe 0.0000 0.3338 0.2784  5 O 1.86-1.92
Fe 0.0000 0.6662 0.7784  5 O 1.86-1.92
Fe 0.3338 0.0000 0.2784  5 O 1.86-1.92
Fe 0.3338 0.3338 0.7784  5 O 1.86-1.92
Fe 0.6662 0.0000 0.7784  5 O 1.86-1.92
Fe 0.6662 0.6662 0.2784  5 O 1.86-1.92
O 0.0000 0.0000 0.3035  3 Fe 1.92
O 0.0000 0.0000 0.8035  3 Fe 1.92
O 0.0000 0.3030 0.1124  1 Fe 1.86
O 0.0000 0.3633 0.4439  1 Fe 1.86
O 0.0000 0.6367 0.9439  1 Fe 1.86
O 0.0000 0.6970 0.6124  1 Fe 1.86
O 0.3030 0.0000 0.1124  1 Fe 1.86
O 0.3030 0.3030 0.6124  1 Fe 1.86
O 0.3333 0.6667 0.2592  3 Fe 1.91
O 0.3333 0.6667 0.7592  3 Fe 1.91
O 0.3633 0.0000 0.4439  1 Fe 1.86
O 0.3633 0.3633 0.9439  1 Fe 1.86
O 0.6367 0.0000 0.9439  1 Fe 1.86
O 0.6367 0.6367 0.4439  1 Fe 1.86
O 0.6667 0.3333 0.2592  3 Fe 1.91
O 0.6667 0.3333 0.7592  3 Fe 1.91
O 0.6970 0.0000 0.6124  1 Fe 1.86
O 0.6970 0.6970 0.1124  1 Fe 1.86

Summary:
- energy (eV/atom) = -12.907
- E_form (uncorrected) (eV/atom) = -2.69
- space group = P6_3cm (185)

The following is a DFT calculation (meta-GGA SCAN) of a crystal of ZrTc relaxed with PBEsol.

Cell lengths 5.4917, 5.4917, 5.4917 Å; angles 145.86, 131.67, 60.50 degrees
Last column: nearest neighbours and their distance in Å.
Sites, in units of the cell vectors:
Zr 0.3668 0.1168 0.2500  6 Tc 2.77-2.89, 2 Zr 3.00
Zr 0.6332 0.8832 0.7500  6 Tc 2.77-2.89, 2 Zr 3.00
Tc 0.1146 0.3646 0.7500  2 Tc 2.71, 6 Zr 2.77-2.89
Tc 0.8854 0.6354 0.2500  2 Tc 2.71, 6 Zr 2.77-2.89

Summary:
- energy (eV/atom) = -33.258
- formation energy from the elements (meV per atom) = -379
- space group = Imma (74)

The following is a DFT calculation (meta-GGA SCAN) of a crystal of CaFeSiO5 relaxed with PBEsol.

Cell lengths 5.3407, 5.3407, 6.7983 Å; angles 104.43, 104.43, 105.93 degrees
Last column: nearest neighbours and their distance in Å.
Sites, in units of the cell vectors:
Ca 0.1692 0.8308 0.7500  7 O 2.28-2.49
Ca 0.8308 0.1692 0.2500  7 O 2.28-2.49
Fe 0.5000 0.5000 0.0000  6 O 1.78-1.92
Fe 0.5000 0.5000 0.5000  6 O 1.78-1.92
Si 0.1872 0.8128 0.2500  4 O 1.64-1.65
Si 0.8128 0.1872 0.7500  4 O 1.64-1.65
O 0.1253 0.2576 0.9162  1 Si 1.65
O 0.1900 0.6037 0.3906  1 Si 1.64
O 0.2576 0.1253 0.4162  1 Si 1.65
O 0.3963 0.8100 0.1094  1 Si 1.64
O 0.4362 0.5638 0.7500  2 Fe 1.78
O 0.5638 0.4362 0.2500  2 Fe 1.78
O 0.6037 0.1900 0.8906  1 Si 1.64
O 0.7424 0.8747 0.5838  1 Si 1.65
O 0.8100 0.3963 0.6094  1 Si 1.64
O 0.8747 0.7424 0.0838  1 Si 1.65

Summary:
- energy (eV/atom) = -11.206
- E_form (uncorrected) (eV/atom) = -2.59
- space group = C2/c (15)